Compound: Co2Mo3
Source: Alexandria via LeMat-Bulk
Functional: PBE-GGA
Structure: optimized geometry

```
data_Co2Mo3
_space_group_name_H-M_alt 'P 1'
_space_group_IT_number 1
_space_group_name_Hall 'P 1'
_cell_length_a 11.266
_cell_length_b 11.266
_cell_length_c 11.266
_cell_angle_alpha 13.74
_cell_angle_beta 13.74
_cell_angle_gamma 13.74
loop_
_atom_site_label
_atom_site_type_symbol
_atom_site_fract_x
_atom_site_fract_y
_atom_site_fract_z
Co1 Co 0.102 0.102 0.102
Co2 Co 0.898 0.898 0.898
Mo1 Mo 0.296 0.296 0.296
Mo2 Mo 0.500 0.500 0.500
Mo3 Mo 0.704 0.704 0.704
```

## Properties
Its formation energy is 0.29 eV/atom. The calculation puts the energy relative to the lowest polymorph listed for this composition at 0.639 eV per formula unit. For the density of states at the Fermi level, the calculation gives 5.5 states/eV/cell. The value obtained for the total energy is -9.051 eV/atom. The calculated density is 9.591 g cm⁻³. The value obtained for the magnetic moment is 2.1 μB/cell. As for the volume: 70.2 Å³ per cell.